A) 12
Lattice="4.204 0.000 0.000 -2.102 3.640 0.000 0.000 0.000 20.804" Properties=species:S:1:pos:R:3 comment="ZnCd4Hg7 PBE optimized geometry" m_tot_mub_per_fu=0.0 space_group=P-3m1 pbc="T T T"
Zn 0.000 0.000 0.000
Cd 0.000 2.427 3.203
Cd 0.000 2.427 8.635
Cd 2.102 1.213 12.169
Cd 2.102 1.213 17.601
Hg 0.000 0.000 4.974
Hg 0.000 0.000 10.402
Hg 0.000 0.000 15.830
Hg 0.000 2.427 13.964
Hg 0.000 2.427 19.384
Hg 2.102 1.213 1.420
Hg 2.102 1.213 6.840

---

B) 12
Lattice="6.099 -1.875 0.000 6.099 1.875 0.000 -0.765 0.000 13.058" Properties=species:S:1:pos:R:3 comment="ZnCd4Hg7 PBE optimized geometry" m_tot_mub_per_fu=0.0 space_group=Cm pbc="T T T"
Zn 0.000 0.000 0.000
Cd 1.881 0.000 5.795
Cd 3.576 0.000 11.615
Cd 6.376 0.000 7.836
Cd 9.574 0.000 3.777
Hg -0.488 0.000 10.138
Hg 1.388 0.000 2.394
Hg 2.570 0.000 8.921
Hg 4.561 0.000 1.598
Hg 5.869 0.000 4.571
Hg 7.443 0.000 12.473
Hg 10.262 0.000 6.836

---

Most stable structure - B); separation to the second - 6 meV per atom.

---

A) 10
Lattice="8.431 0.000 0.000 0.000 8.431 0.000 0.000 0.000 2.959" Properties=species:S:1:pos:R:3 comment="Zn2Cd2Hg PBE optimized geometry" m_tot_mub_per_fu=0.0 space_group=P4/mbm pbc="T T T"
Zn 0.952 3.264 0.000
Zn 3.264 7.479 0.000
Zn 5.167 0.952 0.000
Zn 7.479 5.167 0.000
Cd 1.550 5.766 1.479
Cd 2.666 1.550 1.479
Cd 5.766 6.881 1.479
Cd 6.881 2.666 1.479
Hg 0.000 0.000 1.479
Hg 4.216 4.216 1.479

---

B) 5
Lattice="-1.932 1.932 7.223 1.932 -1.932 7.223 1.932 1.932 -7.223" Properties=species:S:1:pos:R:3 comment="Zn2Cd2Hg PBE optimized geometry" m_tot_mub_per_fu=0.0 space_group=I4/mmm pbc="T T T"
Zn 1.932 0.000 3.612
Zn 0.000 1.932 3.612
Cd 0.000 0.000 1.503
Cd 0.000 0.000 12.944
Hg 0.000 0.000 7.223

---

C) 10
Lattice="7.025 0.000 0.000 0.000 7.025 0.000 0.000 0.000 4.230" Properties=species:S:1:pos:R:3 comment="Zn2Cd2Hg PBE optimized geometry" m_tot_mub_per_fu=0.0 space_group=P4/mbm pbc="T T T"
Zn 0.913 2.600 0.000
Zn 2.600 6.113 0.000
Zn 4.425 0.913 0.000
Zn 6.113 4.425 0.000
Cd 1.176 4.689 2.115
Cd 2.336 1.176 2.115
Cd 4.689 5.849 2.115
Cd 5.849 2.336 2.115
Hg 0.000 0.000 0.000
Hg 3.513 3.513 0.000

---

D) 5
Lattice="-2.106 2.106 6.332 2.106 -2.106 6.332 2.106 2.106 -6.332" Properties=species:S:1:pos:R:3 comment="Zn2Cd2Hg PBE optimized geometry" m_tot_mub_per_fu=0.0 space_group=I4/mmm pbc="T T T"
Zn 0.000 0.000 1.215
Zn 0.000 0.000 11.450
Cd 2.106 0.000 3.166
Cd 0.000 2.106 3.166
Hg 0.000 0.000 6.332

---

Most stable structure - A); separation to the second - 10 meV per atom.

---

A) 4
Lattice="2.213 -2.366 0.000 2.213 2.366 0.000 0.000 0.000 8.569" Properties=species:S:1:pos:R:3 comment="ZnCdHg2 PBE optimized geometry" m_tot_mub_per_fu=0.0 space_group=Cmm2 pbc="T T T"
Zn 0.000 0.000 0.000
Cd 2.213 0.000 1.876
Hg 0.000 0.000 4.190
Hg 2.213 0.000 6.650

---

B) 4
Lattice="0.000 3.565 3.565 3.565 0.000 3.565 3.565 3.565 0.000" Properties=species:S:1:pos:R:3 comment="ZnCdHg2 PBE optimized geometry" m_tot_mub_per_fu=0.0 space_group=Fm-3m pbc="T T T"
Zn 0.000 0.000 0.000
Cd 3.565 3.565 3.565
Hg 1.783 1.783 1.783
Hg 5.348 5.348 5.348

---

C) 4
Lattice="-1.685 2.263 6.179 1.685 -2.263 6.179 1.685 2.263 -6.179" Properties=species:S:1:pos:R:3 comment="ZnCdHg2 PBE optimized geometry" m_tot_mub_per_fu=0.0 space_group=Imm2 pbc="T T T"
Zn 0.000 0.000 0.000
Cd 1.685 0.000 2.518
Hg 0.000 0.000 6.342
Hg 0.000 2.263 3.738

---

D) 4
Lattice="4.561 -1.661 0.000 4.561 1.661 0.000 -1.514 0.000 5.985" Properties=species:S:1:pos:R:3 comment="ZnCdHg2 PBE optimized geometry" m_tot_mub_per_fu=0.0 space_group=C2/m pbc="T T T"
Zn 0.000 0.000 0.000
Cd 3.804 0.000 2.993
Hg 1.194 0.000 4.603
Hg 6.413 0.000 1.382

---

Most stable structure - D); separation to the second - 5 meV per atom.

---

A) 12
Lattice="6.257 0.000 0.000 3.117 6.857 0.000 0.743 3.626 6.889" Properties=species:S:1:pos:R:3 comment="ZnCdHg4 PBE optimized geometry" m_tot_mub_per_fu=0.0 space_group=P-1 pbc="T T T"
Zn 0.000 0.000 0.000
Zn 3.500 1.813 3.445
Cd 2.707 4.086 0.955
Cd 7.410 6.396 5.935
Hg 1.147 1.603 1.910
Hg 2.255 4.075 4.381
Hg 4.717 6.515 4.281
Hg 6.264 9.056 6.831
Hg 3.854 1.427 0.058
Hg 5.401 3.968 2.608
Hg 7.862 6.407 2.508
Hg 8.970 8.880 4.979

---

B) 6
Lattice="0.000 4.446 4.446 4.446 0.000 4.446 4.446 4.446 0.000" Properties=species:S:1:pos:R:3 comment="ZnCdHg4 PBE optimized geometry" m_tot_mub_per_fu=0.0 space_group=F-43m pbc="T T T"
Zn 0.000 0.000 0.000
Cd 6.669 6.669 6.669
Hg 3.333 3.333 3.333
Hg 5.558 5.558 3.333
Hg 5.558 3.333 5.558
Hg 3.333 5.558 5.558

---

Most stable structure - A); separation to the second - 143 meV per atom.

---

A) 9
Lattice="7.761 -1.727 0.000 7.761 1.727 0.000 -6.291 0.000 8.396" Properties=species:S:1:pos:R:3 comment="ZnCd2Hg6 PBE optimized geometry" m_tot_mub_per_fu=0.0 space_group=C2/m pbc="T T T"
Zn 0.000 0.000 0.000
Cd -1.675 0.000 4.484
Cd 10.906 0.000 3.912
Hg -3.733 0.000 6.888
Hg 2.477 0.000 1.458
Hg 1.423 0.000 5.769
Hg 7.809 0.000 2.627
Hg 6.754 0.000 6.938
Hg 12.965 0.000 1.508

---

B) 9
Lattice="7.956 -1.604 0.000 7.956 1.604 0.000 -3.142 0.000 8.819" Properties=species:S:1:pos:R:3 comment="ZnCd2Hg6 PBE optimized geometry" m_tot_mub_per_fu=0.0 space_group=C2/m pbc="T T T"
Zn 0.000 0.000 0.000
Cd 2.212 0.000 5.752
Cd 10.558 0.000 3.068
Hg -0.051 0.000 2.802
Hg 2.278 0.000 8.769
Hg 5.213 0.000 3.028
Hg 7.556 0.000 5.791
Hg 10.491 0.000 0.050
Hg 12.821 0.000 6.018

---

Most stable structure - B); separation to the second - 14 meV per atom.

---

A) 7
Lattice="1.596 -10.147 0.000 1.596 10.147 0.000 0.000 0.000 5.216" Properties=species:S:1:pos:R:3 comment="Zr4Cd2Hg PBE optimized geometry" m_tot_mub_per_fu=0.6 space_group=Cmmm pbc="T T T"
Zr 1.596 8.688 0.000
Zr 1.596 6.423 2.608
Zr 1.596 -6.423 2.608
Zr 1.596 -8.688 0.000
Cd 1.596 3.917 0.000
Cd 1.596 -3.917 0.000
Hg 0.000 0.000 2.608

---

B) 7
Lattice="2.897 -4.977 0.000 2.897 4.977 0.000 -0.044 0.000 5.567" Properties=species:S:1:pos:R:3 comment="Zr4Cd2Hg PBE optimized geometry" m_tot_mub_per_fu=0.0 space_group=C2/m pbc="T T T"
Zr 1.426 2.489 2.784
Zr 2.897 3.110 0.000
Zr 1.426 -2.489 2.784
Zr 2.897 -3.110 0.000
Cd 2.858 0.000 1.343
Cd 2.892 0.000 4.225
Hg -0.022 0.000 2.784

---

Most stable structure - B); separation to the second - 175 meV per atom.

---

A) 6
Lattice="0.000 4.143 4.143 4.143 0.000 4.143 4.143 4.143 0.000" Properties=species:S:1:pos:R:3 comment="ZrCdHg4 PBE optimized geometry" m_tot_mub_per_fu=0.6 space_group=F-43m pbc="T T T"
Zr 0.000 0.000 0.000
Cd 6.214 6.214 6.214
Hg 3.103 3.103 3.103
Hg 5.182 5.182 3.103
Hg 5.182 3.103 5.182
Hg 3.103 5.182 5.182

---

B) 6
Lattice="2.664 -2.662 0.000 2.664 2.662 0.000 -0.060 0.000 9.763" Properties=species:S:1:pos:R:3 comment="ZrCdHg4 PBE optimized geometry" m_tot_mub_per_fu=0.0 space_group=C2/m pbc="T T T"
Zr 0.000 0.000 0.000
Cd 2.634 0.000 4.882
Hg -0.008 0.000 3.225
Hg 2.604 0.000 8.176
Hg 2.664 0.000 1.587
Hg 5.276 0.000 6.538

---

Most stable structure - B); separation to the second - 282 meV per atom.

---

A) 5
Lattice="5.654 0.000 0.000 0.000 5.654 0.000 0.000 0.000 5.654" Properties=species:S:1:pos:R:3 comment="ZrCdHg3 PBE optimized geometry" m_tot_mub_per_fu=0.0 space_group=Pm-3m pbc="T T T"
Zr 0.000 0.000 0.000
Cd 2.827 2.827 2.827
Hg 0.000 0.000 2.827
Hg 0.000 2.827 0.000
Hg 2.827 0.000 0.000

---

B) 10
Lattice="3.466 0.000 0.000 -1.707 6.327 0.000 -0.045 -1.656 10.389" Properties=species:S:1:pos:R:3 comment="ZrCdHg3 PBE optimized geometry" m_tot_mub_per_fu=0.0 space_group=P-1 pbc="T T T"
Zr -0.014 1.133 4.648
Zr 1.727 3.538 5.741
Cd 0.020 4.266 0.516
Cd 1.693 0.405 9.873
Hg -0.002 0.282 1.547
Hg -0.010 1.993 7.745
Hg 0.002 5.049 3.671
Hg 1.711 -0.378 6.718
Hg 1.723 2.678 2.645
Hg 1.715 4.389 8.842

---

Most stable structure - B); separation to the second - 576 meV per atom.